LaTm2Tc (PBE-GGA, optimized geometry); Fermi-level density of states = 12.95 states/eV/cell; spin magnetization = 0.00 μB per atom; VASP energy = -6.1786 eV per atom; crystal system = orthorhombic; E_form = -0.119 eV/atom; energy relative to the lowest polymorph listed for this composition = 0.00 eV per formula unit
1.0
7.391 0.000 0.000
0.000 9.199 0.000
0.000 0.000 6.416
La Tm Tc
4 8 4
Direct
0.052 0.250 0.126
0.448 0.750 0.626
0.552 0.250 0.374
0.948 0.750 0.874
0.174 0.066 0.661
0.174 0.434 0.661
0.326 0.566 0.161
0.326 0.934 0.161
0.674 0.066 0.839
0.674 0.434 0.839
0.826 0.566 0.339
0.826 0.934 0.339
0.125 0.750 0.473
0.375 0.250 0.973
0.625 0.750 0.027
0.875 0.250 0.527

LaUTc2 (PBE-GGA, optimized geometry); Fermi-level density of states = 3.70 states/eV/cell; spin magnetization = 0.00 μB per atom; VASP energy = -9.2655 eV per atom; crystal system = tetragonal; E_form = -0.029 eV/atom; energy relative to the lowest polymorph listed for this composition = 0.13 eV per formula unit
1.0
3.358 0.000 0.000
0.000 3.358 0.000
0.000 0.000 7.469
La U Tc
1 1 2
Direct
0.000 0.000 0.000
0.000 0.000 0.500
0.500 0.500 0.309
0.500 0.500 0.691